Entry 1:
A PBEsol-optimized structure of Nd2CoTe2S2O14. Source: Alexandria, functional meta-GGA SCAN.

Cell lengths 5.3704, 7.9446, 8.0990 Å; angles 63.57, 72.55, 87.02 degrees
With the nearest neighbours (Å) after each atom.
Atoms (fractional coordinates):
Nd 0.0831 0.2513 0.0175  8 O 2.35-2.58
Nd 0.9169 0.7487 0.9825  8 O 2.35-2.58
Co 0.0000 0.0000 0.5000  6 O 2.03-2.08
Te 0.4889 0.7437 0.6390  3 O 1.90-1.93
Te 0.5111 0.2563 0.3610  3 O 1.90-1.93
S 0.2250 0.7516 0.2572  4 O 1.48-1.51
S 0.7750 0.2484 0.7428  4 O 1.48-1.51
O 0.0698 0.5933 0.2743  1 S 1.48
O 0.1336 0.7804 0.4337  1 S 1.48
O 0.1853 0.9225 0.0863  1 S 1.51
O 0.2515 0.5723 0.8819  1 Te 1.91
O 0.2625 0.9375 0.6524  1 Te 1.93, 1 Co 2.05
O 0.2768 0.1882 0.2605  1 Te 1.90, 1 Co 2.03
O 0.4952 0.2817 0.7772  1 S 1.48
O 0.5048 0.7183 0.2228  1 S 1.48
O 0.7232 0.8118 0.7395  1 Te 1.90, 1 Co 2.03
O 0.7375 0.0625 0.3476  1 Te 1.93, 1 Co 2.05
O 0.7485 0.4277 0.1181  1 Te 1.91
O 0.8147 0.0775 0.9137  1 S 1.51
O 0.8664 0.2196 0.5663  1 S 1.48
O 0.9302 0.4067 0.7257  1 S 1.48

Its energy relative to the elements, uncorrected is -2.0850 eV per atom.

Entry 2:
A PBEsol-optimized structure of ScI2BrO. Source: Alexandria, functional meta-GGA SCAN.

Cell lengths 5.9695, 5.9695, 3.7821 Å; angles 90.00, 90.00, 90.00 degrees
With the nearest neighbours (Å) after each atom.
Atoms (fractional coordinates):
Sc 0.0000 0.0000 0.0000  8 I 3.53, 2 Sc 3.78
I 0.0000 0.5000 0.5000  2 Br 2.98
I 0.5000 0.0000 0.5000  2 Br 2.98
Br 0.5000 0.5000 0.5000  2 O 1.89
O 0.5000 0.5000 0.0000  2 Br 1.89

Its energy relative to the elements, uncorrected is 0.2234 eV per atom.

Entry 3:
A PBEsol-optimized structure of SbN3Cl. Source: Alexandria, functional meta-GGA SCAN.

Cell lengths 4.1907, 4.1907, 4.1907 Å; angles 90.00, 90.00, 90.00 degrees
With the nearest neighbours (Å) after each atom.
Atoms (fractional coordinates):
Sb 0.0000 0.0000 0.0000  6 N 2.10
N 0.0000 0.0000 0.5000  2 Sb 2.10
N 0.0000 0.5000 0.0000  2 Sb 2.10
N 0.5000 0.0000 0.0000  2 Sb 2.10
Cl 0.5000 0.5000 0.5000  12 N 2.96

Its energy relative to the elements, uncorrected is 1.7759 eV per atom.

Entry 4:
A PBEsol-optimized structure of KYNi2. Source: Alexandria, functional meta-GGA SCAN.

Cell lengths 4.7978, 4.7978, 4.7978 Å; angles 60.00, 60.00, 60.00 degrees
With the nearest neighbours (Å) after each atom.
Atoms (fractional coordinates):
K 0.0000 0.0000 0.0000  8 Ni 2.94
Y 0.5000 0.5000 0.5000  8 Ni 2.94
Ni 0.2500 0.2500 0.2500  4 K 2.94, 4 Y 2.94
Ni 0.7500 0.7500 0.7500  4 K 2.94, 4 Y 2.94

The calculation puts the energy of formation from the pure elements at 2.09 eV per formula unit. The relative energy among the computed polymorphs comes out at 0.304 eV/atom.

Entry 5:
A PBEsol-optimized structure of Ta2CdRh. Source: Alexandria, functional meta-GGA SCAN.

Cell lengths 2.8526, 2.8526, 8.2637 Å; angles 90.00, 90.00, 90.00 degrees
With the nearest neighbours (Å) after each atom.
Atoms (fractional coordinates):
Ta 0.0000 0.0000 0.2247  4 Rh 2.74, 4 Ta 2.85, 4 Cd 3.04
Ta 0.0000 0.0000 0.7753  4 Rh 2.74, 4 Ta 2.85, 4 Cd 3.04
Cd 0.5000 0.5000 0.5000  4 Cd 2.85, 8 Ta 3.04
Rh 0.5000 0.5000 0.0000  8 Ta 2.74, 4 Rh 2.85

The calculation puts the energy of formation from the pure elements at -0.50 eV per formula unit.

Entry 6:
A PBEsol-optimized structure of BaMgBe. Source: Alexandria, functional meta-GGA SCAN.

Cell lengths 5.0585, 5.0585, 5.0585 Å; angles 60.00, 60.00, 60.00 degrees
With the nearest neighbours (Å) after each atom.
Atoms (fractional coordinates):
Ba 0.0000 0.0000 0.0000  4 Be 3.10
Mg 0.5000 0.5000 0.5000  4 Be 3.10
Be 0.2500 0.2500 0.2500  4 Ba 3.10, 4 Mg 3.10

The calculation puts the energy of formation from the pure elements at 1.54 eV per formula unit. The relative energy among the computed polymorphs comes out at 0.112 eV/atom.

Final energy values (in eV for the cell shown) by entry order: -329.25, -112.29, -64.23, -66.43, -197.85, -47.34.